VASP calculation (PBE-GGA) on Mg2PdPb after structural relaxation.

The total magnetization comes out at 0.00 μB/cell. The uncorrected energy is -3.31 eV/atom. For the formation energy, the calculation gives -0.29 eV/atom.

The space group is P4/mmm (No. 123) and the conventional cell measures 4.407, 4.407 and 4.167 Å, with angles of 90.00, 90.00 and 90.00 degrees. Symmetry generates all atoms from Mg at (0.000, 0.500, 0.000), Pd at (0.000, 0.000, 0.500) and Pb at (0.500, 0.500, 0.500).